No. 1
## TbZn3CuIr (PBE)

Data for a relaxed TbZn3CuIr crystal.

* calculated formation energy: -0.159 eV/atom
* symmetry: Cmcm (63)
* size of the total moment: 0.0 Bohr magnetons per cell

Structure (POSCAR):
```
TbZn3CuIr
1.0
3.9865 -5.4189 0.0000
3.9865 5.4189 0.0000
0.0000 0.0000 5.3127
Tb Zn Cu Ir
2 6 2 2
direct
0.1894 0.8106 0.7500
0.8106 0.1894 0.2500
0.2487 0.2487 0.0000
0.2487 0.2487 0.5000
0.3241 0.6759 0.2500
0.6759 0.3241 0.7500
0.7513 0.7513 0.0000
0.7513 0.7513 0.5000
0.4507 0.5493 0.7500
0.5493 0.4507 0.2500
0.0915 0.9085 0.2500
0.9085 0.0915 0.7500
```

***

No. 2
## Tb4CeP5 (PBE)

Data for a relaxed Tb4CeP5 crystal.

* calculated formation energy: -1.597 eV/atom
* symmetry: I4/m (87)
* size of the total moment: 0.3 Bohr magnetons per cell

Structure (POSCAR):
```
Tb4CeP5
1.0
-4.5109 4.5109 2.8540
4.5109 -4.5109 2.8540
4.5109 4.5109 -2.8540
Tb Ce P
4 1 5
direct
0.1002 0.3012 0.4014
0.3012 0.8998 0.2010
0.6988 0.1002 0.7990
0.8998 0.6988 0.5986
0.5000 0.5000 0.0000
0.0000 0.0000 0.0000
0.2011 0.5991 0.8002
0.4009 0.2011 0.6020
0.5991 0.7989 0.3980
0.7989 0.4009 0.1998
```

***

No. 3
## CsLiSnF4 (PBE)

Data for a relaxed CsLiSnF4 crystal.

* symmetry: P2_1/m (11)
* size of the total moment: 0.0 Bohr magnetons per cell
* uncorrected formation energy: -2.606 eV per atom

Structure (POSCAR):
```
CsLiSnF4
1.0
6.3643 0.0000 0.0000
0.0000 6.0695 0.0000
-2.1998 0.0000 7.4063
Cs Li Sn F
2 2 2 8
direct
0.2209 0.2500 0.0586
0.7791 0.7500 0.9414
0.4716 0.2500 0.7008
0.5284 0.7500 0.2992
0.2171 0.7500 0.5440
0.7829 0.2500 0.4560
0.2222 0.7500 0.2280
0.3326 0.5049 0.7549
0.3326 0.9951 0.7549
0.4506 0.2500 0.4518
0.5494 0.7500 0.5482
0.6674 0.0049 0.2451
0.6674 0.4951 0.2451
0.7778 0.2500 0.7720
```

***

No. 4
## BeRu (PBE)

Data for a relaxed BeRu crystal.

* calculated formation energy: 0.278 eV/atom
* symmetry: P6_3/mmc (194)
* size of the total moment: 0.0 Bohr magnetons per cell

Structure (POSCAR):
```
BeRu
1.0
4.1884 0.0000 0.0000
-2.0942 3.6273 0.0000
0.0000 0.0000 6.5975
Be Ru
4 4
direct
0.3333 0.6667 0.0913
0.3333 0.6667 0.4087
0.6667 0.3333 0.5913
0.6667 0.3333 0.9087
0.0000 0.0000 0.2500
0.0000 0.0000 0.7500
0.3333 0.6667 0.7500
0.6667 0.3333 0.2500
```

***

No. 5
## CeScGe (PBE)

Data for a relaxed CeScGe crystal.

* calculated formation energy: -0.427 eV/atom
* symmetry: P-6m2 (187)
* size of the total moment: 1.3 Bohr magnetons per cell

Structure (POSCAR):
```
CeScGe
1.0
4.6225 0.0000 0.0000
-2.3112 4.0032 0.0000
0.0000 0.0000 4.0448
Ce Sc Ge
1 1 1
direct
0.0000 0.0000 0.0000
0.3333 0.6667 0.5000
0.6667 0.3333 0.5000
```

***

No. 6
## CuRuO4 (PBE)

Data for a relaxed CuRuO4 crystal.

* symmetry: Pnc2 (30)
* size of the total moment: 0.0 Bohr magnetons per cell
* uncorrected formation energy: -0.691 eV per atom

Structure (POSCAR):
```
CuRuO4
1.0
4.9547 0.0000 0.0000
0.0000 4.4532 0.0000
0.0000 0.0000 5.7173
Cu Ru O
2 2 8
direct
0.0000 0.0000 0.0000
0.0000 0.5000 0.5000
0.5000 0.0000 0.3321
0.5000 0.5000 0.8321
0.1914 0.2257 0.2801
0.1914 0.2743 0.7801
0.3364 0.7457 0.5559
0.3364 0.7543 0.0559
0.6636 0.2457 0.0559
0.6636 0.2543 0.5559
0.8086 0.7257 0.7801
0.8086 0.7743 0.2801
```

***

No. 7
## Pm2SmPd2 (PBE)

Data for a relaxed Pm2SmPd2 crystal.

* relative energy among the computed polymorphs: 0.050 eV/atom
* calculated formation energy: -0.604 eV/atom
* symmetry: P2_1/m (11)
* size of the total moment: 0.0 Bohr magnetons per cell

Structure (POSCAR):
```
Pm2SmPd2
1.0
5.6560 0.0000 0.0000
0.0000 4.6498 0.0000
-1.2073 0.0000 10.5610
Pm Sm Pd
4 2 4
direct
0.1125 0.2500 0.3797
0.2452 0.2500 0.0373
0.7548 0.7500 0.9627
0.8875 0.7500 0.6203
0.4004 0.2500 0.7113
0.5996 0.7500 0.2887
0.2430 0.7500 0.8633
0.3526 0.7500 0.5256
0.6474 0.2500 0.4744
0.7570 0.2500 0.1367
```

***

No. 8
## Ce2Al4NiPt3 (PBE)

Data for a relaxed Ce2Al4NiPt3 crystal.

* calculated formation energy: -0.960 eV/atom
* symmetry: P-4m2 (115)
* size of the total moment: 1.2 Bohr magnetons per cell

Structure (POSCAR):
```
Ce2Al4NiPt3
1.0
4.2399 0.0000 0.0000
0.0000 4.2399 0.0000
0.0000 0.0000 10.3639
Ce Al Ni Pt
2 4 1 3
direct
0.0000 0.5000 0.2470
0.5000 0.0000 0.7530
0.0000 0.0000 0.5000
0.0000 0.5000 0.8783
0.5000 0.0000 0.1217
0.5000 0.5000 0.5000
0.5000 0.5000 0.0000
0.0000 0.0000 0.0000
0.0000 0.5000 0.6372
0.5000 0.0000 0.3628
```

***

No. 9
## Tm3Be2Ge4 (PBE)

Data for a relaxed Tm3Be2Ge4 crystal.

* relative energy among the computed polymorphs: 0.000 eV/atom
* calculated formation energy: -0.610 eV/atom
* symmetry: C2/m (12)
* size of the total moment: 0.0 Bohr magnetons per cell

Structure (POSCAR):
```
Tm3Be2Ge4
1.0
5.2774 -1.9796 0.0000
5.2774 1.9796 0.0000
-1.5114 0.0000 7.7800
Tm Be Ge
3 2 4
direct
0.0000 0.0000 0.0000
0.3369 0.3369 0.3334
0.6631 0.6631 0.6666
0.3924 0.3924 0.7179
0.6076 0.6076 0.2821
0.0649 0.0649 0.3814
0.2887 0.2887 0.9316
0.7113 0.7113 0.0684
0.9351 0.9351 0.6186
```

***

No. 10
## TbAl3Pd (PBE)

Data for a relaxed TbAl3Pd crystal.

* relative energy among the computed polymorphs: 0.011 eV/atom
* calculated formation energy: -0.665 eV/atom
* symmetry: P2_1/m (11)
* size of the total moment: 0.0 Bohr magnetons per cell

Structure (POSCAR):
```
TbAl3Pd
1.0
6.8135 0.0000 0.0000
0.0000 4.2068 0.0000
-1.7975 0.0000 6.6156
Tb Al Pd
2 6 2
direct
0.1935 0.2500 0.1717
0.8065 0.7500 0.8283
0.0718 0.2500 0.6464
0.3196 0.7500 0.9003
0.3401 0.7500 0.5144
0.6599 0.2500 0.4856
0.6804 0.2500 0.0997
0.9282 0.7500 0.3536
0.4494 0.2500 0.7387
0.5506 0.7500 0.2613
```

***

No. 11
## Pm2YRuN4 (PBE)

Data for a relaxed Pm2YRuN4 crystal.

* symmetry: Cmcm (63)
* size of the total moment: 0.0 Bohr magnetons per cell
* uncorrected formation energy: -0.870 eV per atom

Structure (POSCAR):
```
Pm2YRuN4
1.0
1.7213 -5.9103 0.0000
1.7213 5.9103 0.0000
0.0000 0.0000 12.0088
Pm Y Ru N
4 2 2 8
direct
0.1320 0.8680 0.5426
0.1320 0.8680 0.9574
0.8680 0.1320 0.0426
0.8680 0.1320 0.4574
0.3711 0.6289 0.7500
0.6289 0.3711 0.2500
0.3595 0.6405 0.2500
0.6405 0.3595 0.7500
0.0579 0.9421 0.7500
0.2279 0.7721 0.1366
0.2279 0.7721 0.3634
0.5000 0.5000 0.0000
0.5000 0.5000 0.5000
0.7721 0.2279 0.6366
0.7721 0.2279 0.8634
0.9421 0.0579 0.2500
```

***

No. 12
## Cs3Na4Tl (PBE)

Data for a relaxed Cs3Na4Tl crystal.

* calculated formation energy: 0.008 eV/atom
* symmetry: Pmmn (59)
* size of the total moment: 0.0 Bohr magnetons per cell

Structure (POSCAR):
```
Cs3Na4Tl
1.0
7.7373 0.0000 0.0000
0.0000 15.4956 0.0000
0.0000 0.0000 8.2393
Cs Na Tl
6 8 2
direct
0.2500 0.0078 0.1857
0.2500 0.4922 0.1857
0.2500 0.7500 0.5462
0.7500 0.2500 0.4538
0.7500 0.5078 0.8143
0.7500 0.9922 0.8143
0.0100 0.2500 0.9884
0.2500 0.1347 0.6523
0.2500 0.3653 0.6523
0.4900 0.2500 0.9884
0.5100 0.7500 0.0116
0.7500 0.6347 0.3477
0.7500 0.8653 0.3477
0.9900 0.7500 0.0116
0.2500 0.2500 0.3191
0.7500 0.7500 0.6809
```

***

No. 13
## CeSi2BOs2 (PBE)

Data for a relaxed CeSi2BOs2 crystal.

* symmetry: P4/mmm (123)
* size of the total moment: 0.3 Bohr magnetons per cell
* uncorrected formation energy: -0.535 eV per atom

Structure (POSCAR):
```
CeSi2BOs2
1.0
4.1589 0.0000 0.0000
0.0000 4.1589 0.0000
0.0000 0.0000 5.3360
Ce Si B Os
1 2 1 2
direct
0.0000 0.0000 0.0000
0.5000 0.5000 0.2212
0.5000 0.5000 0.7788
0.0000 0.0000 0.5000
0.0000 0.5000 0.5000
0.5000 0.0000 0.5000
```

***

No. 14
## YRu2Pt (PBE)

Data for a relaxed YRu2Pt crystal.

* relative energy among the computed polymorphs: 0.124 eV/atom
* calculated formation energy: -0.090 eV/atom
* symmetry: C2/m (12)
* size of the total moment: 0.0 Bohr magnetons per cell

Structure (POSCAR):
```
YRu2Pt
1.0
9.3095 0.0000 0.0000
0.0000 3.0351 0.0000
-1.0313 0.0000 4.9629
Y Ru Pt
2 4 2
direct
0.0000 0.0000 0.0000
0.5000 0.5000 0.0000
0.2393 0.0000 0.7011
0.2607 0.5000 0.2989
0.7393 0.5000 0.7011
0.7607 0.0000 0.2989
0.0000 0.5000 0.5000
0.5000 0.0000 0.5000
```

***

No. 15
## BaPtF5 (PBE)

Data for a relaxed BaPtF5 crystal.

* symmetry: C2/c (15)
* size of the total moment: 0.0 Bohr magnetons per cell
* uncorrected formation energy: -2.383 eV per atom

Structure (POSCAR):
```
BaPtF5
1.0
4.4871 -2.9524 0.0000
4.4871 2.9524 0.0000
-3.5045 0.0000 8.5109
Ba Pt F
2 2 10
direct
0.0126 0.9874 0.7500
0.9874 0.0126 0.2500
0.5000 0.5000 0.0000
0.5000 0.5000 0.5000
0.0885 0.6884 0.4576
0.1271 0.4759 0.8783
0.3116 0.9115 0.0424
0.4759 0.1271 0.3783
0.4790 0.5210 0.2500
0.5210 0.4790 0.7500
0.5241 0.8729 0.6217
0.6884 0.0885 0.9576
0.8729 0.5241 0.1217
0.9115 0.3116 0.5424
```

***

No. 16
## LaTcHg2 (PBE)

Data for a relaxed LaTcHg2 crystal.

* relative energy among the computed polymorphs: 0.076 eV/atom
* calculated formation energy: 0.208 eV/atom
* symmetry: Pmmm (47)
* size of the total moment: 0.0 Bohr magnetons per cell

Structure (POSCAR):
```
LaTcHg2
1.0
3.1522 0.0000 0.0000
0.0000 4.5721 0.0000
0.0000 0.0000 6.1467
La Tc Hg
1 1 2
direct
0.0000 0.0000 0.0000
0.0000 0.0000 0.5000
0.5000 0.5000 0.2754
0.5000 0.5000 0.7246
```

***

No. 17
## InHg2Sb (PBE)

Data for a relaxed InHg2Sb crystal.

* symmetry: I-42d (122)
* size of the total moment: 0.0 Bohr magnetons per cell
* uncorrected formation energy: 0.093 eV per atom

Structure (POSCAR):
```
InHg2Sb
1.0
8.3964 0.0000 0.0000
0.0000 8.3964 0.0000
0.0000 0.0000 6.2491
In Hg Sb
4 8 4
direct
0.0000 0.0000 0.0000
0.0000 0.5000 0.2500
0.5000 0.0000 0.7500
0.5000 0.5000 0.5000
0.2441 0.2500 0.6250
0.2500 0.7441 0.8750
0.2500 0.7559 0.3750
0.2559 0.2500 0.1250
0.7441 0.7500 0.1250
0.7500 0.2441 0.3750
0.7500 0.2559 0.8750
0.7559 0.7500 0.6250
0.0000 0.0000 0.5000
0.0000 0.5000 0.7500
0.5000 0.0000 0.2500
0.5000 0.5000 0.0000
```

***

No. 18
## ErMn2 (PBE)

Data for a relaxed ErMn2 crystal.

* calculated formation energy: 0.091 eV/atom
* symmetry: Fd-3m (227)
* size of the total moment: 1.0 Bohr magnetons per cell

Structure (POSCAR):
```
ErMn2
1.0
0.0000 3.5866 3.5866
3.5866 0.0000 3.5866
3.5866 3.5866 0.0000
Er Mn
2 4
direct
0.1250 0.1250 0.1250
0.8750 0.8750 0.8750
0.0000 0.5000 0.5000
0.5000 0.0000 0.5000
0.5000 0.5000 0.0000
0.5000 0.5000 0.5000
```

***

No. 19
## KAgCl2 (PBE)

Data for a relaxed KAgCl2 crystal.

* symmetry: P2/m (10)
* size of the total moment: 0.0 Bohr magnetons per cell
* uncorrected formation energy: -1.145 eV per atom

Structure (POSCAR):
```
KAgCl2
1.0
4.0296 0.0000 0.0000
0.0000 3.8218 0.0000
-0.1747 0.0000 7.2837
K Ag Cl
1 1 2
direct
0.0000 0.0000 0.0000
0.5000 0.0000 0.5000
0.4901 0.5000 0.7542
0.5099 0.5000 0.2458
```

***

No. 20
## KIn2AgPt (PBE)

Data for a relaxed KIn2AgPt crystal.

* calculated formation energy: -0.188 eV/atom
* symmetry: P4/mmm (123)
* size of the total moment: 0.0 Bohr magnetons per cell

Structure (POSCAR):
```
KIn2AgPt
1.0
5.1566 0.0000 0.0000
0.0000 5.1566 0.0000
0.0000 0.0000 5.4906
K In Ag Pt
1 2 1 1
direct
0.0000 0.0000 0.0000
0.0000 0.5000 0.5000
0.5000 0.0000 0.5000
0.5000 0.5000 0.0000
0.5000 0.5000 0.5000
```

***

No. 21
## BaPr2Ni (PBE)

Data for a relaxed BaPr2Ni crystal.

* relative energy among the computed polymorphs: 0.099 eV/atom
* calculated formation energy: 0.050 eV/atom
* symmetry: R-3m (166)
* size of the total moment: 0.0 Bohr magnetons per cell

Structure (POSCAR):
```
BaPr2Ni
1.0
4.0756 0.0000 0.0000
-2.0378 3.5296 0.0000
0.0000 0.0000 32.6994
Ba Pr Ni
3 6 3
direct
0.0000 0.0000 0.0000
0.3333 0.6667 0.6667
0.6667 0.3333 0.3333
0.0000 0.0000 0.1202
0.0000 0.0000 0.8798
0.3333 0.6667 0.5465
0.3333 0.6667 0.7868
0.6667 0.3333 0.2132
0.6667 0.3333 0.4535
0.0000 0.0000 0.5000
0.3333 0.6667 0.1667
0.6667 0.3333 0.8333
```

***

No. 22
## K3Dy3ZnTe8 (PBE)

Data for a relaxed K3Dy3ZnTe8 crystal.

* symmetry: C2/m (12)
* size of the total moment: 0.0 Bohr magnetons per cell
* uncorrected formation energy: -1.037 eV per atom

Structure (POSCAR):
```
K3Dy3ZnTe8
1.0
7.4764 -4.4054 0.0000
7.4764 4.4054 0.0000
-4.8947 0.0000 8.4879
K Dy Zn Te
3 3 1 8
direct
0.0000 0.0000 0.0000
0.0000 0.5000 0.0000
0.5000 0.0000 0.0000
0.0000 0.5000 0.5000
0.5000 0.0000 0.5000
0.5000 0.5000 0.5000
0.0000 0.0000 0.5000
0.1995 0.1995 0.6790
0.2614 0.2614 0.2888
0.2643 0.6979 0.7255
0.3021 0.7357 0.2745
0.6979 0.2643 0.7255
0.7357 0.3021 0.2745
0.7386 0.7386 0.7112
0.8005 0.8005 0.3210
```

***

No. 23
## ReTe2Au (PBE)

Data for a relaxed ReTe2Au crystal.

* relative energy among the computed polymorphs: 0.117 eV/atom
* symmetry: R-3m (166)
* size of the total moment: 0.0 Bohr magnetons per cell
* uncorrected formation energy: 0.388 eV per atom

Structure (POSCAR):
```
ReTe2Au
1.0
3.4962 0.0000 0.0000
-1.7481 3.0278 0.0000
0.0000 0.0000 25.0466
Re Te Au
3 6 3
direct
0.0000 0.0000 0.0000
0.3333 0.6667 0.6667
0.6667 0.3333 0.3333
0.0000 0.0000 0.2590
0.0000 0.0000 0.7410
0.3333 0.6667 0.4077
0.3333 0.6667 0.9257
0.6667 0.3333 0.0743
0.6667 0.3333 0.5923
0.0000 0.0000 0.5000
0.3333 0.6667 0.1667
0.6667 0.3333 0.8333
```

***

No. 24
## PmSmPuHg (PBE)

Data for a relaxed PmSmPuHg crystal.

* calculated formation energy: 0.076 eV/atom
* symmetry: F-43m (216)
* size of the total moment: 29.7 Bohr magnetons per cell

Structure (POSCAR):
```
PmSmPuHg
1.0
7.6786 0.0000 0.0000
0.0000 7.6786 0.0000
0.0000 0.0000 7.6786
Pm Sm Pu Hg
4 4 4 4
direct
0.0000 0.0000 0.0000
0.0000 0.5000 0.5000
0.5000 0.0000 0.5000
0.5000 0.5000 0.0000
0.2500 0.2500 0.7500
0.2500 0.7500 0.2500
0.7500 0.2500 0.2500
0.7500 0.7500 0.7500
0.2500 0.2500 0.2500
0.2500 0.7500 0.7500
0.7500 0.2500 0.7500
0.7500 0.7500 0.2500
0.0000 0.0000 0.5000
0.0000 0.5000 0.0000
0.5000 0.0000 0.0000
0.5000 0.5000 0.5000
```